Version one
A geometry-optimized NaYZrNi structure, computed with PBE-GGA.

abc: 4.878 4.878 4.878
angles: 60.00 60.00 60.00
Fractional coordinates of all 4 atoms:
Ni 0.000 0.000 0.000
Y 0.500 0.500 0.500
Na 0.750 0.750 0.750
Zr 0.250 0.250 0.250

V	82.1	Å³ per cell
crystal system	cubic

---

Version two
A geometry-optimized NaYZrNi structure, computed with PBE-GGA.

abc: 4.909 4.909 4.909
angles: 60.00 60.00 60.00
Fractional coordinates of all 4 atoms:
Na 0.750 0.750 0.750
Y 0.500 0.500 0.500
Ni 0.250 0.250 0.250
Zr 0.000 0.000 0.000

V	83.7	Å³ per cell
crystal system	cubic

---

version two (206 meV per atom below the next structure)

---

Version one
A geometry-optimized NaNp structure, computed with PBE-GGA.

abc: 2.875 2.875 6.437
angles: 90.00 90.00 120.00
Fractional coordinates of all 2 atoms:
Np 0.333 0.667 0.250
Na 0.667 0.333 0.750

V	46.1	Å³ per cell
crystal system	hexagonal

---

Version two
A geometry-optimized NaNp structure, computed with PBE-GGA.

abc: 5.038 5.038 5.038
angles: 60.00 60.00 60.00
Fractional coordinates of all 2 atoms:
Np 0.250 0.250 0.250
Na 0.000 0.000 0.000

V	90.4	Å³ per cell
crystal system	cubic

---

version one (1776 meV per atom below the next structure)

---

Version one
A geometry-optimized Na2NpTe3 structure, computed with PBE-GGA.

abc: 7.546 7.546 11.705
angles: 90.00 90.00 144.64
Fractional coordinates of all 12 atoms:
Na 0.470 0.530 0.250
Na 0.251 0.749 0.750
Na 0.749 0.251 0.250
Na 0.530 0.470 0.750
Te 0.908 0.092 0.750
Te 0.361 0.639 0.459
Te 0.639 0.361 0.541
Te 0.092 0.908 0.250
Te 0.361 0.639 0.041
Te 0.639 0.361 0.959
Np 0.000 0.000 0.000
Np 0.000 0.000 0.500

V	385.8	Å³ per cell
crystal system	orthorhombic

---

Version two
A geometry-optimized Na2NpTe3 structure, computed with PBE-GGA.

abc: 7.776 7.776 7.668
angles: 100.31 100.31 118.67
Fractional coordinates of all 12 atoms:
Te 0.799 0.649 0.503
Te 0.000 0.500 0.000
Te 0.649 0.799 0.003
Te 0.201 0.351 0.497
Te 0.351 0.201 0.997
Te 0.500 0.000 0.500
Na 0.917 0.083 0.750
Na 0.083 0.917 0.250
Na 0.756 0.244 0.250
Na 0.244 0.756 0.750
Np 0.590 0.410 0.750
Np 0.410 0.590 0.250

V	380.9	Å³ per cell
crystal system	monoclinic

---

version two (152 meV per atom below the next structure)

---

Version one
A geometry-optimized NaPOsO structure, computed with PBE-GGA.

abc: 3.747 5.822 6.343
angles: 90.00 90.00 90.00
Fractional coordinates of all 8 atoms:
Os 0.500 0.225 0.465
Os 0.500 0.775 0.965
P 0.500 0.901 0.290
P 0.500 0.099 0.790
O 0.000 0.674 0.932
O 0.000 0.326 0.432
Na 0.000 0.306 0.067
Na 0.000 0.694 0.567

V	138.4	Å³ per cell
crystal system	orthorhombic

---

Version two
A geometry-optimized NaPOsO structure, computed with PBE-GGA.

abc: 3.414 3.414 9.105
angles: 90.00 90.00 90.00
Fractional coordinates of all 8 atoms:
P 0.500 0.500 0.262
P 0.000 0.000 0.738
O 0.500 0.000 0.000
O 0.000 0.500 0.000
Na 0.000 0.500 0.500
Na 0.500 0.000 0.500
Os 0.500 0.500 0.852
Os 0.000 0.000 0.148

V	106.1	Å³ per cell
crystal system	tetragonal

---

Version three
A geometry-optimized NaPOsO structure, computed with PBE-GGA.

abc: 3.514 6.829 5.624
angles: 90.00 90.00 90.00
Fractional coordinates of all 8 atoms:
O 0.500 0.694 0.883
O 0.500 0.306 0.383
Na 0.000 0.882 0.909
Na 0.000 0.118 0.409
P 0.000 0.304 0.889
P 0.000 0.696 0.389
Os 0.500 0.449 0.073
Os 0.500 0.551 0.573

V	135.0	Å³ per cell
crystal system	orthorhombic

---

Version four
A geometry-optimized NaPOsO structure, computed with PBE-GGA.

abc: 4.008 4.008 8.173
angles: 90.00 90.00 90.00
Fractional coordinates of all 8 atoms:
Na 0.000 0.000 0.130
Na 0.500 0.500 0.870
P 0.000 0.000 0.644
P 0.500 0.500 0.356
Os 0.000 0.500 0.500
Os 0.500 0.000 0.500
O 0.000 0.500 0.000
O 0.500 0.000 0.000

V	131.3	Å³ per cell
crystal system	tetragonal

---

version three (113 meV per atom below the next structure)

---

Version one
A geometry-optimized NaOsSO structure, computed with PBE-GGA.

abc: 6.399 6.849 5.623
angles: 90.00 106.29 90.00
Fractional coordinates of all 16 atoms:
Na 0.888 0.205 0.967
Na 0.888 0.295 0.467
Na 0.112 0.705 0.533
Na 0.112 0.795 0.033
O 0.624 0.147 0.600
O 0.376 0.853 0.400
O 0.624 0.353 0.100
O 0.376 0.647 0.900
S 0.736 0.861 0.188
S 0.736 0.639 0.688
S 0.264 0.139 0.812
S 0.264 0.361 0.312
Os 0.479 0.404 0.717
Os 0.521 0.904 0.783
Os 0.479 0.096 0.217
Os 0.521 0.596 0.283

V	236.5	Å³ per cell
crystal system	monoclinic

---

Version two
A geometry-optimized NaOsSO structure, computed with PBE-GGA.

abc: 6.106 8.088 5.690
angles: 90.00 90.00 90.00
Fractional coordinates of all 16 atoms:
O 0.958 0.870 0.573
O 0.458 0.130 0.573
O 0.542 0.870 0.073
O 0.042 0.130 0.073
Os 0.074 0.661 0.524
Os 0.426 0.661 0.024
Os 0.926 0.339 0.024
Os 0.574 0.339 0.524
S 0.602 0.438 0.160
S 0.398 0.562 0.660
S 0.102 0.562 0.160
S 0.898 0.438 0.660
Na 0.584 0.873 0.494
Na 0.916 0.873 0.994
Na 0.416 0.127 0.994
Na 0.084 0.127 0.494

V	281.0	Å³ per cell
crystal system	orthorhombic

---

version two (49 meV per atom below the next structure)

---

Version one
A geometry-optimized NaOsSO structure, computed with PBE-GGA.

abc: 3.547 6.411 5.600
angles: 90.00 90.00 90.00
Fractional coordinates of all 8 atoms:
S 0.000 0.832 0.185
S 0.000 0.168 0.685
O 0.500 0.769 0.718
O 0.500 0.231 0.218
Os 0.500 0.023 0.487
Os 0.500 0.977 0.987
Na 0.000 0.597 0.601
Na 0.000 0.403 0.101

V	127.4	Å³ per cell
crystal system	orthorhombic

---

Version two
A geometry-optimized NaOsSO structure, computed with PBE-GGA.

abc: 3.569 3.569 8.457
angles: 90.00 90.00 90.00
Fractional coordinates of all 8 atoms:
Os 0.750 0.750 0.852
Os 0.250 0.250 0.148
Na 0.750 0.250 0.500
Na 0.250 0.750 0.500
O 0.250 0.750 0.000
O 0.750 0.250 0.000
S 0.250 0.250 0.736
S 0.750 0.750 0.264

V	107.8	Å³ per cell
crystal system	tetragonal

---

version one (805 meV per atom below the next structure)

---

Version one
A geometry-optimized Na2ScOsO6 structure, computed with PBE-GGA.

abc: 5.520 5.520 5.520
angles: 120.81 120.81 88.60
Fractional coordinates of all 10 atoms:
Na 0.250 0.750 0.500
Na 0.750 0.250 0.500
O 0.239 0.239 0.000
O 0.761 0.761 0.000
O 0.294 0.818 0.112
O 0.706 0.182 0.888
O 0.818 0.706 0.524
O 0.182 0.294 0.476
Os 0.000 0.000 0.000
Sc 0.500 0.500 0.000

V	117.4	Å³ per cell
crystal system	tetragonal

---

Version two
A geometry-optimized Na2ScOsO6 structure, computed with PBE-GGA.

abc: 5.398 5.398 9.667
angles: 90.00 90.00 120.00
Fractional coordinates of all 20 atoms:
Na 0.333 0.667 0.947
Na 0.667 0.333 0.053
Na 0.667 0.333 0.447
Na 0.333 0.667 0.553
Sc 0.000 0.000 0.750
Sc 0.000 0.000 0.250
O 0.293 0.361 0.137
O 0.933 0.639 0.637
O 0.707 0.639 0.863
O 0.933 0.293 0.863
O 0.361 0.067 0.863
O 0.067 0.361 0.363
O 0.707 0.067 0.637
O 0.293 0.933 0.363
O 0.067 0.707 0.137
O 0.639 0.707 0.363
O 0.639 0.933 0.137
O 0.361 0.293 0.637
Os 0.333 0.667 0.250
Os 0.667 0.333 0.750

V	243.9	Å³ per cell
crystal system	trigonal

---

version one (59 meV per atom below the next structure)

---

Version one
A geometry-optimized NaTeOsO structure, computed with PBE-GGA.

abc: 3.740 3.740 9.498
angles: 90.00 90.00 90.00
Fractional coordinates of all 8 atoms:
Os 0.250 0.250 0.131
Os 0.750 0.750 0.869
O 0.750 0.250 0.000
O 0.250 0.750 0.000
Na 0.250 0.750 0.500
Na 0.750 0.250 0.500
Te 0.250 0.250 0.752
Te 0.750 0.750 0.248

V	132.8	Å³ per cell
crystal system	tetragonal

---

Version two
A geometry-optimized NaTeOsO structure, computed with PBE-GGA.

abc: 3.924 6.945 5.784
angles: 90.00 90.00 90.00
Fractional coordinates of all 8 atoms:
O 0.500 0.797 0.688
O 0.500 0.203 0.188
Na 0.000 0.643 0.681
Na 0.000 0.357 0.181
Os 0.500 0.000 0.437
Os 0.500 0.000 0.937
Te 0.000 0.816 0.185
Te 0.000 0.184 0.685

V	157.6	Å³ per cell
crystal system	orthorhombic

---

version two (779 meV per atom below the next structure)

---

Version one
A geometry-optimized Na2TeOsO6 structure, computed with PBE-GGA.

abc: 5.655 5.655 5.655
angles: 60.00 60.00 60.00
Fractional coordinates of all 10 atoms:
O 0.241 0.759 0.759
O 0.759 0.759 0.241
O 0.241 0.241 0.759
O 0.759 0.241 0.759
O 0.241 0.759 0.241
O 0.759 0.241 0.241
Te 0.500 0.500 0.500
Na 0.750 0.750 0.750
Na 0.250 0.250 0.250
Os 0.000 0.000 0.000

V	127.9	Å³ per cell
crystal system	cubic

---

Version two
A geometry-optimized Na2TeOsO6 structure, computed with PBE-GGA.

abc: 5.398 5.506 9.393
angles: 90.00 124.87 90.00
Fractional coordinates of all 20 atoms:
Na 0.238 0.948 0.250
Na 0.762 0.052 0.750
Na 0.762 0.448 0.250
Na 0.238 0.552 0.750
O 0.347 0.969 0.745
O 0.246 0.306 0.947
O 0.135 0.702 0.447
O 0.865 0.298 0.553
O 0.347 0.531 0.245
O 0.653 0.469 0.755
O 0.653 0.031 0.255
O 0.135 0.798 0.947
O 0.754 0.806 0.553
O 0.865 0.202 0.053
O 0.246 0.194 0.447
O 0.754 0.694 0.053
Te 0.500 0.000 0.000
Te 0.500 0.500 0.500
Os 0.000 0.500 0.000
Os 0.000 0.000 0.500

V	229.1	Å³ per cell
crystal system	monoclinic

---

version two (85 meV per atom below the next structure)

---

Version one
A geometry-optimized NaPPdO structure, computed with PBE-GGA.

abc: 3.651 3.651 8.626
angles: 90.00 90.00 90.00
Fractional coordinates of all 8 atoms:
Pd 0.000 0.500 0.147
Pd 0.500 0.000 0.853
O 0.500 0.500 0.000
O 0.000 0.000 0.000
Na 0.500 0.500 0.500
Na 0.000 0.000 0.500
P 0.000 0.500 0.749
P 0.500 0.000 0.251

V	115.0	Å³ per cell
crystal system	tetragonal

---

Version two
A geometry-optimized NaPPdO structure, computed with PBE-GGA.

abc: 4.119 4.119 6.382
angles: 90.00 90.00 90.00
Fractional coordinates of all 8 atoms:
Na 0.500 0.000 0.860
Na 0.000 0.500 0.140
Pd 0.000 0.000 0.500
Pd 0.500 0.500 0.500
P 0.500 0.000 0.281
P 0.000 0.500 0.719
O 0.500 0.500 0.000
O 0.000 0.000 0.000

V	108.3	Å³ per cell
crystal system	tetragonal

---

version two (592 meV per atom below the next structure)